# 1
YTa2RuSe: relaxed, PBE-GGA.

- Symmetry: No. 123
- Magnetic moment: 1.3 μB per formula unit
- Calculated volume: 23.62 A^3/atom
- N(E_F): 8.0 states/eV/cell

```
YTa2RuSe
1.0
4.807 0.000 0.000
0.000 5.111 0.000
0.000 0.000 4.807
Ta Y Se Ru
2 1 1 1
direct
0.000 0.000 0.500
0.500 0.000 0.000
0.500 0.500 0.500
0.000 0.500 0.000
0.000 0.000 0.000
```

# 2
Tb5RuSe4: relaxed, PBE-GGA.

- Symmetry: No. 87
- Magnetic moment: 0.0 μB per formula unit
- Calculated volume: 24.84 A^3/atom
- N(E_F): 8.6 states/eV/cell

```
Tb5RuSe4
1.0
-0.649 -0.709 5.779
6.143 -0.219 3.632
-0.547 6.108 3.657
Tb Se Ru
5 4 1
direct
0.724 0.183 0.371
0.907 0.371 0.817
0.278 0.817 0.629
0.501 0.000 0.000
0.095 0.629 0.183
0.807 0.787 0.600
0.195 0.213 0.400
0.407 0.400 0.787
0.595 0.600 0.213
0.001 0.000 0.000
```

# 3
Tb7RuSe5: relaxed, PBE-GGA.

- Symmetry: No. 36
- Magnetic moment: 0.0 μB per formula unit
- Calculated volume: 25.32 A^3/atom
- N(E_F): 13.0 states/eV/cell

```
Tb7RuSe5
1.0
3.959 0.000 0.000
-1.979 6.754 0.007
0.000 -0.030 24.621
Tb Se Ru
14 10 2
direct
0.196 0.391 0.317
0.456 0.912 0.249
0.369 0.738 0.965
0.352 0.704 0.539
0.631 0.263 0.465
0.544 0.089 0.749
0.648 0.297 0.039
0.924 0.849 0.111
0.805 0.609 0.817
0.786 0.571 0.682
0.895 0.791 0.373
0.215 0.430 0.182
0.076 0.153 0.611
0.105 0.210 0.873
0.548 0.097 0.359
0.271 0.542 0.429
0.452 0.904 0.859
0.713 0.426 0.572
0.989 0.978 0.498
0.288 0.576 0.072
0.566 0.132 0.145
0.012 0.024 0.998
0.435 0.869 0.645
0.729 0.459 0.929
0.811 0.623 0.260
0.189 0.378 0.760
```

# 4
Tb5Ru2Se2: relaxed, PBE-GGA.

- Symmetry: No. 64
- Magnetic moment: 0.0 μB per formula unit
- Calculated volume: 24.31 A^3/atom
- N(E_F): 10.6 states/eV/cell

```
Tb5Ru2Se2
1.0
7.180 0.000 2.606
0.000 7.586 0.000
1.014 0.000 8.401
Tb Se Ru
10 4 4
direct
0.000 0.000 0.000
0.789 0.840 0.750
0.711 0.340 0.250
0.461 0.160 0.750
0.961 0.340 0.750
0.211 0.160 0.250
0.039 0.660 0.250
0.539 0.840 0.250
0.500 0.500 0.000
0.289 0.660 0.750
0.707 0.500 0.585
0.207 0.000 0.585
0.293 0.500 0.415
0.793 0.000 0.415
0.364 0.866 0.000
0.136 0.366 0.000
0.636 0.134 0.000
0.864 0.634 0.000
```

# 5
Tb3RuSe2: relaxed, PBE-GGA.

- Symmetry: No. 139
- Magnetic moment: 0.0 μB per formula unit
- Calculated volume: 24.55 A^3/atom
- N(E_F): 2.8 states/eV/cell

```
Tb3RuSe2
1.0
4.009 0.000 -0.913
-0.208 4.004 -0.914
-0.016 -0.016 9.183
Tb Ru Se
3 1 2
direct
0.934 0.936 0.874
0.285 0.286 0.575
0.584 0.585 0.173
0.434 0.436 0.874
0.760 0.761 0.525
0.109 0.110 0.223
```

# 6
Tb4RuSe2: relaxed, PBE-GGA.

- Symmetry: No. 63
- Magnetic moment: 0.0 μB per formula unit
- Calculated volume: 25.89 A^3/atom
- N(E_F): 10.4 states/eV/cell

```
Tb4RuSe2
1.0
-2.714 -2.592 0.901
5.997 -2.658 2.153
-1.763 6.226 12.600
Tb Se Ru
8 4 2
direct
0.953 0.907 0.750
0.047 0.093 0.250
0.500 0.000 0.000
0.203 0.406 0.630
0.797 0.594 0.130
0.797 0.594 0.370
0.203 0.406 0.870
0.500 0.000 0.500
0.858 0.716 0.566
0.858 0.716 0.934
0.142 0.284 0.066
0.142 0.284 0.434
0.603 0.206 0.750
0.397 0.794 0.250
```

# 7
Tb4RuSe3: relaxed, PBE-GGA.

- Symmetry: No. 65
- Magnetic moment: 0.0 μB per formula unit
- Calculated volume: 24.84 A^3/atom
- N(E_F): 5.1 states/eV/cell

```
Tb4RuSe3
1.0
-2.614 2.906 0.884
-4.525 -2.546 -5.010
-1.550 -3.291 6.231
Se Ru Tb
3 1 4
direct
0.000 0.000 0.500
0.500 0.500 0.500
0.000 0.500 0.000
0.500 0.000 0.000
0.500 0.770 0.230
0.000 0.233 0.233
0.000 0.767 0.767
0.500 0.230 0.770
```

# 8
TbThRuSe: relaxed, PBE-GGA.

- Symmetry: No. 160
- Magnetic moment: 0.0 μB per formula unit
- Calculated volume: 25.65 A^3/atom
- N(E_F): 2.7 states/eV/cell

```
TbThRuSe
1.0
-2.692 2.978 -0.408
-1.142 -3.836 -0.509
0.589 -1.175 7.529
Ru Se Th Tb
1 1 1 1
direct
0.130 0.963 0.108
0.466 0.131 0.612
0.330 0.563 0.908
0.953 0.374 0.342
```

# 9
TcRu4Se: relaxed, PBE-GGA.

- Symmetry: No. 216
- Magnetic moment: 0.0 μB per formula unit
- Calculated volume: 15.63 A^3/atom
- N(E_F): 9.3 states/eV/cell

```
TcRu4Se
1.0
0.000 3.606 3.606
3.606 0.000 3.606
3.606 3.606 0.000
Se Tc Ru
1 1 4
direct
0.750 0.750 0.750
0.000 0.000 0.000
0.374 0.374 0.877
0.877 0.374 0.374
0.374 0.877 0.374
0.374 0.374 0.374
```

# 10
TcRuSe4: relaxed, PBE-GGA.

- Symmetry: No. 216
- Magnetic moment: 6.9 μB per formula unit
- Calculated volume: 20.42 A^3/atom
- N(E_F): 6.7 states/eV/cell

```
TcRuSe4
1.0
0.000 3.942 3.942
3.942 0.000 3.942
3.942 3.942 0.000
Se Tc Ru
4 1 1
direct
0.875 0.375 0.375
0.375 0.375 0.375
0.375 0.375 0.875
0.375 0.875 0.375
0.750 0.750 0.750
0.000 0.000 0.000
```

# 11
TcRuSe3: relaxed, PBE-GGA.

- Symmetry: No. 221
- Magnetic moment: 0.0 μB per formula unit
- Calculated volume: 21.98 A^3/atom
- N(E_F): 6.5 states/eV/cell
- ΔE to the lowest computed polymorph: 0.000 eV/atom

```
TcRuSe3
1.0
-0.865 -4.351 -1.807
-1.023 -1.620 4.390
-4.599 1.179 -0.637
Ru Se Tc
1 3 1
direct
0.500 0.500 0.500
0.000 0.000 0.500
0.000 0.500 0.000
0.500 0.000 0.000
0.000 0.000 0.000
```

# 12
Tc3RuSe: relaxed, PBE-GGA.

- Symmetry: No. 221
- Magnetic moment: 2.3 μB per formula unit
- Calculated volume: 18.03 A^3/atom
- N(E_F): 5.2 states/eV/cell
- ΔE to the lowest computed polymorph: 0.000 eV/atom

```
Tc3RuSe
1.0
-4.443 0.034 -0.602
-0.283 -4.071 1.858
-0.533 1.880 4.036
Tc Se Ru
3 1 1
direct
0.000 0.500 0.000
0.500 0.000 0.000
0.000 0.000 0.500
0.000 0.000 0.000
0.500 0.500 0.500
```

Results for E_tot: -7.862; -6.096; -5.974; -6.343; -6.263; -6.054; -6.163; -7.180; -7.662; -4.189; -4.961; -7.374 (in eV per atom, following the order of the records).
Results for formation energy without anion corrections: 724; -1460; -1427; -935; -1241; -1087; -1381; -977; 830; 1408; 1058; 1398 (in meV/atom, following the order of the records).